(1)
Computed, not measured: ZrCd2Ag2 after structural relaxation at the PBE-GGA level of DFT.

Lattice parameters (Å, degrees): 2.9801 4.9121 7.4181 109.19 101.28 90.28
Space group P-1 (No. 2)
Unique sites:
1 Zr 0.0000 0.0000 0.0000 x1
2 Cd 0.3978 0.3953 0.7902 x2
3 Ag 0.2909 0.7944 0.5881 x2

Values from the calculation:
Its crystal system is triclinic. The calculation puts the size of the total moment at 0.00 Bohr magnetons per cell. For the distance to the lowest polymorph of the same formula, the calculation gives 0 meV per atom. The value obtained for the formation energy is -0.193 eV/f.u.



(2)
Computed, not measured: ZrCd2Ag8 after structural relaxation at the PBE-GGA level of DFT.

Lattice parameters (Å, degrees): 8.6025 18.1562 2.9419 90.00 109.43 90.00
Space group C2/m (No. 12)
Unique sites:
1 Zr 0.0000 0.0000 0.0000 x2
2 Cd 0.0000 0.3847 0.5000 x4
3 Ag 0.0000 0.2511 0.0000 x4
4 Ag 0.1760 0.1394 0.6734 x8
5 Ag 0.1777 0.5000 0.1774 x4

Values from the calculation:
Its crystal system is monoclinic. The calculation puts the size of the total moment at 0.00 Bohr magnetons per cell. The value obtained for the formation energy is 0.649 eV/f.u.



(3)
Computed, not measured: ZrCdAg3 after structural relaxation at the PBE-GGA level of DFT.

Lattice parameters (Å, degrees): 6.6703 4.3240 6.7670 90.00 90.81 90.00
Space group P2_1/m (No. 11)
Unique sites:
1 Zr 0.0459 0.2500 0.3430 x2
2 Cd 0.4662 0.2500 0.1585 x2
3 Ag 0.1541 0.7500 0.0558 x2
4 Ag 0.2441 0.2500 0.7545 x2
5 Ag 0.3517 0.7500 0.4506 x2

Values from the calculation:
Its crystal system is monoclinic. The calculation puts the size of the total moment at 1.48 Bohr magnetons per cell. For the distance to the lowest polymorph of the same formula, the calculation gives 13 meV per atom. The value obtained for the formation energy is -0.014 eV/f.u.



(4)
Computed, not measured: Zr3Cd2Ag2 after structural relaxation at the PBE-GGA level of DFT.

Lattice parameters (Å, degrees): 4.9091 4.9091 21.0780 90.00 90.00 120.00
Space group R-3m (No. 166, hexagonal axes)
Unique sites:
1 Zr 0.0000 0.0000 0.0000 x3
2 Zr 0.0000 0.0000 0.1365 x6
3 Cd 0.0000 0.0000 0.4201 x6
4 Ag 0.0000 0.0000 0.2764 x6

Values from the calculation:
Its crystal system is trigonal. The calculation puts the size of the total moment at 5.62 Bohr magnetons per cell. The value obtained for the formation energy is 0.498 eV/f.u.



(5)
Computed, not measured: Zr3Cd2Ag after structural relaxation at the PBE-GGA level of DFT.

Lattice parameters (Å, degrees): 7.9427 3.0774 11.5861 90.00 108.82 90.00
Space group P2_1 (No. 4)
Unique sites:
1 Zr 0.0321 0.0000 0.1179 x2
2 Zr 0.3513 0.5017 0.0792 x2
3 Zr 0.3911 0.0014 0.3265 x2
4 Cd 0.2514 0.0022 0.5534 x2
5 Cd 0.2992 0.5041 0.7946 x2
6 Ag 0.0430 0.5010 0.3449 x2

Values from the calculation:
Its crystal system is monoclinic. The calculation puts the size of the total moment at 0.00 Bohr magnetons per cell. The value obtained for the formation energy is 0.129 eV/f.u.



(6)
Computed, not measured: ZrCd2Ag after structural relaxation at the PBE-GGA level of DFT.

Lattice parameters (Å, degrees): 4.8541 4.8541 6.8957 90.00 90.00 90.00
Space group I-4m2 (No. 119)
Unique sites:
1 Zr 0.0000 0.0000 0.0000 x2
2 Cd 0.0000 0.0000 0.5000 x2
3 Cd 0.0000 0.5000 0.2500 x2
4 Ag 0.0000 0.5000 0.7500 x2

Values from the calculation:
Its crystal system is tetragonal. The calculation puts the size of the total moment at 0.00 Bohr magnetons per cell. The value obtained for the formation energy is -0.198 eV/f.u.



(7)
Computed, not measured: Zr2Cd6Ag after structural relaxation at the PBE-GGA level of DFT.

Lattice parameters (Å, degrees): 7.1552 12.1942 4.5053 90.00 90.00 90.00
Space group Cmmm (No. 65)
Unique sites:
1 Zr 0.0000 0.2167 0.0000 x4
2 Cd 0.1954 0.3571 0.5000 x8
3 Cd 0.2301 0.5000 0.0000 x4
4 Ag 0.0000 0.0000 0.5000 x2

Values from the calculation:
Its crystal system is orthorhombic. The calculation puts the size of the total moment at 0.00 Bohr magnetons per cell. For the distance to the lowest polymorph of the same formula, the calculation gives 0 meV per atom. The value obtained for the formation energy is 0.176 eV/f.u.



(8)
Computed, not measured: ZrCdAg3 after structural relaxation at the PBE-GGA level of DFT.

Lattice parameters (Å, degrees): 5.3390 5.3390 5.3390 90.00 90.00 90.00
Space group Pm-3m (No. 221)
Unique sites:
1 Zr 0.0000 0.0000 0.0000 x1
2 Cd 0.5000 0.5000 0.5000 x1
3 Ag 0.0000 0.0000 0.5000 x3

Values from the calculation:
Its crystal system is cubic. The calculation puts the size of the total moment at 0.44 Bohr magnetons per cell. For the distance to the lowest polymorph of the same formula, the calculation gives 1094 meV per atom. The value obtained for the formation energy is 5.395 eV/f.u.